Compound: Mn5Si
Source: Alexandria via LeMat-Bulk
Functional: PBE-GGA
Structure: relaxed

a b c (Å): 4.409 4.409 4.269
angles (deg): 90.00 90.00 120.00
Sites, in units of the cell vectors:
Mn  0.000  0.500  0.500
Mn  0.500  0.500  0.500
Mn  0.500  0.000  0.500
Mn  0.667  0.333  0.000
Mn  0.333  0.667  0.000
Si  0.000  0.000  0.000

Computed properties:
Calculated total energy in eV/atom: -8.219
Crystal system: hexagonal
SG: P6/mmm (191)
Volume in Å³/atom: 11.98